# 1
First-principles (GGA-PBE) data for Sr3Hg4Pd4 after structural relaxation, as listed in Alexandria via LeMat-Bulk.

volume	271.0	Å³/f.u.
E above lowest polymorph	0.00	eV per formula unit
energy of formation	-0.520	eV per atom
symmetry	Immm
total DFT energy (no corrections)	-2.98	eV per atom
total magnetic moment	0.000	μB per atom

Lattice parameters (Å, degrees): 4.442 7.965 8.914 116.54 104.43 90.00
Atoms (fractional coordinates):
1 Pd 0.500 0.175 0.000
2 Pd 0.780 0.280 0.560
3 Pd 0.220 0.720 0.440
4 Hg 0.332 0.136 0.664
5 Sr 0.874 0.874 0.747
6 Sr 0.000 0.500 0.000
7 Hg 0.332 0.529 0.664
8 Sr 0.126 0.126 0.253
9 Hg 0.668 0.471 0.336
10 Pd 0.500 0.825 0.000
11 Hg 0.668 0.864 0.336


# 2
First-principles (GGA-PBE) data for Sr4HgPd after structural relaxation, as listed in Alexandria via LeMat-Bulk.

volume	231.9	Å³/f.u.
E above lowest polymorph	0.26	eV per formula unit
energy of formation	-0.356	eV per atom
symmetry	C2/m
total DFT energy (no corrections)	-2.39	eV per atom
total magnetic moment	0.000	μB per atom

Lattice parameters (Å, degrees): 5.477 5.479 7.729 89.94 89.97 90.00
Atoms (fractional coordinates):
1 Pd 0.001 0.997 0.498
2 Sr 0.501 0.997 0.256
3 Sr 0.501 0.998 0.740
4 Sr 0.002 0.498 0.740
5 Hg 0.501 0.497 0.998
6 Sr 0.001 0.497 0.256


# 3
First-principles (GGA-PBE) data for SrHg2Pd after structural relaxation, as listed in Alexandria via LeMat-Bulk.

volume	113.1	Å³/f.u.
energy of formation	-0.270	eV per atom
symmetry	I-42d
total DFT energy (no corrections)	-2.14	eV per atom
total magnetic moment	0.000	μB per atom

Lattice parameters (Å, degrees): 4.712 4.712 10.716 77.30 77.30 90.00
Atoms (fractional coordinates):
1 Sr 0.500 0.500 0.000
2 Sr 0.250 0.750 0.500
3 Hg 0.875 0.948 0.750
4 Hg 0.052 0.625 0.250
5 Hg 0.698 0.125 0.250
6 Hg 0.375 0.302 0.750
7 Pd 0.750 0.250 0.500
8 Pd 0.000 0.000 0.000


# 4
First-principles (GGA-PBE) data for Sr2Hg6Pd3 after structural relaxation, as listed in Alexandria via LeMat-Bulk.

volume	278.8	Å³/f.u.
energy of formation	-0.350	eV per atom
symmetry	P-62m
total DFT energy (no corrections)	-2.24	eV per atom
total magnetic moment	0.000	μB per atom

Lattice parameters (Å, degrees): 4.625 8.343 8.343 120.00 90.00 90.00
Atoms (fractional coordinates):
1 Hg 0.000 0.000 0.792
2 Hg 0.000 0.792 0.000
3 Sr 0.000 0.667 0.333
4 Pd 0.500 0.000 0.615
5 Pd 0.500 0.385 0.385
6 Sr 0.000 0.333 0.667
7 Pd 0.500 0.615 0.000
8 Hg 0.000 0.208 0.208
9 Hg 0.500 0.000 0.290
10 Hg 0.500 0.290 0.000
11 Hg 0.500 0.710 0.710